Density functional theory data (PBE+U) for NaTbVO4 after structural relaxation.

Calculated values
ρ in g/cm³: 4.424
E_tot in eV per cell: -100.008

Structure (CIF):
```
data_NaTbVO4
_cell_length_a 5.8942
_cell_length_b 6.0802
_cell_length_c 6.7917
_cell_angle_alpha 90.00
_cell_angle_beta 113.73
_cell_angle_gamma 90.00
_space_group_name_H-M_alt 'P 1 21/m 1'
_space_group_IT_number 11
loop_
_space_group_symop_operation_xyz
'x,y,z'
'-x,-y,-z'
'-x,y+1/2,-z'
'x,-y+1/2,z'
loop_
_atom_site_label
_atom_site_type_symbol
_atom_site_fract_x
_atom_site_fract_y
_atom_site_fract_z
Na1 Na 0.1722 0.2500 0.4562
Tb1 Tb 0.3291 0.2500 0.9774
V1 V 0.2316 0.7500 0.1759
O1 O 0.0087 0.7500 0.9100
O2 O 0.0478 0.7500 0.3290
O3 O 0.4761 0.5357 0.1995
```